1:
CuHgSN2 after structural relaxation, computed with GGA-PBE.

Results
Magnetic moment, μB/f.u.: 3.681
V, Å³/atom: 16.82

```
5
Lattice="3.769 0.000 0.000 0.000 3.769 0.000 0.000 0.000 5.921" Properties=species:S:1:pos:R:3 pbc="T T T"
S 0.000 0.000 2.960
Hg 1.885 1.885 2.960
Cu 0.000 0.000 0.000
N 0.000 1.885 0.000
N 1.885 0.000 0.000
```



2:
CuHgSN2 after structural relaxation, computed with GGA-PBE.

Results
Magnetic moment, μB/f.u.: 3.542
V, Å³/atom: 18.99

```
5
Lattice="-3.278 -2.092 1.487 1.996 -3.595 -0.659 2.124 0.255 5.041" Properties=species:S:1:pos:R:3 pbc="T T T"
S 1.062 0.128 2.520
Hg 0.000 0.000 0.000
Cu 0.421 -2.716 2.935
N 0.998 -1.797 -0.329
N -1.639 -1.046 0.744
```



In terms of stability, 1 leads; the second structure lies 686 meV/atom higher.



1:
NbCu3Hg after structural relaxation, computed with GGA-PBE.

Results
Magnetic moment, μB/f.u.: 2.649
V, Å³/atom: 21.06

```
5
Lattice="-2.696 3.842 0.522 -3.759 -2.434 -1.498 -0.950 -1.271 4.448" Properties=species:S:1:pos:R:3 pbc="T T T"
Nb -3.703 0.068 1.736
Hg 0.000 0.000 0.000
Cu -1.879 -1.217 -0.749
Cu -0.475 -0.636 2.224
Cu -1.348 1.921 0.261
```



2:
NbCu3Hg after structural relaxation, computed with GGA-PBE.

Results
Magnetic moment, μB/f.u.: 0.000
V, Å³/atom: 22.77

```
5
Lattice="-1.159 2.634 -3.899 3.871 -1.749 -2.333 -2.676 -3.672 -1.686" Properties=species:S:1:pos:R:3 pbc="T T T"
Nb 0.000 0.000 0.000
Hg 0.018 -1.394 -3.959
Cu 1.936 -0.875 -1.166
Cu -1.338 -1.836 -0.843
Cu -0.580 1.317 -1.950
```



In terms of stability, 1 leads; the second structure lies 50 meV/atom higher.



1:
NbCuHg3 after structural relaxation, computed with GGA-PBE.

Results
Magnetic moment, μB/f.u.: 1.681
V, Å³/atom: 32.48

```
5
Lattice="5.456 0.000 0.000 0.000 5.456 0.000 0.000 0.000 5.456" Properties=species:S:1:pos:R:3 pbc="T T T"
Nb 0.000 0.000 0.000
Hg 0.000 2.728 0.000
Hg 0.000 0.000 2.728
Hg 2.728 0.000 0.000
Cu 2.728 2.728 2.728
```



2:
NbCuHg3 after structural relaxation, computed with GGA-PBE.

Results
Magnetic moment, μB/f.u.: 0.000
V, Å³/atom: 22.37

```
5
Lattice="4.818 0.000 0.000 0.000 4.818 0.000 0.000 0.000 4.818" Properties=species:S:1:pos:R:3 pbc="T T T"
Nb 2.409 2.409 2.409
Hg 0.000 2.409 0.000
Hg 0.000 0.000 2.409
Hg 2.409 0.000 0.000
Cu 0.000 0.000 0.000
```



In terms of stability, 2 leads; the second structure lies 281 meV/atom higher.



1:
NbCuHg2 after structural relaxation, computed with GGA-PBE.

Results
Magnetic moment, μB/f.u.: 0.000
V, Å³/atom: 19.96

```
8
Lattice="7.427 0.000 0.000 0.000 7.427 0.000 3.714 3.714 2.895" Properties=species:S:1:pos:R:3 pbc="T T T"
Nb 0.000 0.000 0.000
Nb 7.427 3.714 1.448
Hg 5.382 1.857 0.724
Hg 2.045 5.570 0.724
Hg 5.570 5.759 2.171
Hg 9.284 9.096 2.171
Cu 3.714 3.714 0.000
Cu 3.714 7.427 1.448
```



2:
NbCuHg2 after structural relaxation, computed with GGA-PBE.

Results
Magnetic moment, μB/f.u.: 0.000
V, Å³/atom: 18.47

```
4
Lattice="0.000 3.331 3.331 3.331 0.000 3.331 3.331 3.331 0.000" Properties=species:S:1:pos:R:3 pbc="T T T"
Nb 3.331 3.331 3.331
Hg 1.665 1.665 1.665
Hg 4.996 4.996 4.996
Cu 0.000 0.000 0.000
```



In terms of stability, 2 leads; the second structure lies 168 meV/atom higher.